1.
VASP calculation (PBE-GGA) on crystalline AgIrO3 at its relaxed geometry.

Lattice parameters (Å, degrees): 5.3906 5.3906 14.9342 90.00 90.00 120.00
Space group R-3 (No. 148, hexagonal axes)
Unique sites:
Ag: 0.0000 0.0000 0.1272 x6
Ir: 0.0000 0.0000 0.3368 x6
O: 0.0076 0.6196 0.9286 x18

Output
DFT total energy in eV for the cell shown: -172.74
Total moment in Bohr magnetons per cell: 1.5

2.
VASP calculation (PBE-GGA) on crystalline Ta4Co2CN at its relaxed geometry.

Lattice parameters (Å, degrees): 3.0668 3.0668 12.9179 90.00 90.00 120.00
Space group P-3m1 (No. 164)
Unique sites:
Ta: 0.3333 0.6667 0.0987 x2
Ta: 0.3333 0.6667 0.4010 x2
Co: 0.3333 0.6667 0.7479 x2
C: 0.0000 0.0000 0.0000 x1
N: 0.0000 0.0000 0.5000 x1

Output
DFT total energy in eV for the cell shown: -82.13
Total moment in Bohr magnetons per cell: 0.3

3.
VASP calculation (PBE-GGA) on crystalline DySi2Ni at its relaxed geometry.

Lattice parameters (Å, degrees): 3.6952 5.0870 7.3964 90.00 90.00 90.00
Space group Pmc2_1 (No. 26)
Unique sites:
Dy: 0.0000 0.0006 0.0000 x2
Si: 0.0000 0.4627 0.7497 x2
Si: 0.5000 0.2291 0.2507 x2
Ni: 0.5000 0.4965 0.5018 x2

Output
DFT total energy in eV for the cell shown: -46.05
Total moment in Bohr magnetons per cell: 0.0

Question: Which value of DFT total energy does entry 1 give?
Answer: -172.74 eV for the cell shown

Question: The lowest total moment belongs to which entry?
Answer: DySi2Ni

Question: What is the total moment in the third record?
Answer: 0.0 Bohr magnetons per cell

Question: What is the DFT total energy in the first record?
Answer: -172.74 eV for the cell shown